(1)
# NiIr2Ru (PBEsol, optimized geometry)
data_NiIr2Ru
_cell_length_a 2.677
_cell_length_b 2.677
_cell_length_c 7.263
_cell_angle_alpha 90.00
_cell_angle_beta 90.00
_cell_angle_gamma 90.00
_space_group_name_H-M_alt 'P 4/m m m'
_space_group_IT_number 123
_space_group_name_Hall '-P 4 2'
loop_
_atom_site_label
_atom_site_type_symbol
_atom_site_fract_x
_atom_site_fract_y
_atom_site_fract_z
Ni1 Ni 0.000 0.000 0.000
Ir1 Ir 0.500 0.500 0.243
Ru1 Ru 0.000 0.000 0.500
# Crystal system = tetragonal
# Energy = -35.98 eV per formula unit
# ρ = 17.4 Mg/m³
# Offset from the most stable computed form = 1.0 kJ per mole of atoms
# Formation energy = 0.00 eV/atom

(2)
# MnInGa3 (PBEsol, optimized geometry)
data_MnInGa3
_cell_length_a 4.639
_cell_length_b 4.639
_cell_length_c 4.639
_cell_angle_alpha 90.00
_cell_angle_beta 90.00
_cell_angle_gamma 90.00
_space_group_name_H-M_alt 'P m -3 m'
_space_group_IT_number 221
_space_group_name_Hall '-P 4 2 3'
loop_
_atom_site_label
_atom_site_type_symbol
_atom_site_fract_x
_atom_site_fract_y
_atom_site_fract_z
Mn1 Mn 0.000 0.000 0.000
In1 In 0.500 0.500 0.500
Ga1 Ga 0.000 0.000 0.500
# Crystal system = cubic
# Energy = -21.99 eV per formula unit
# ρ = 6.3 Mg/m³
# Formation energy = 0.15 eV/atom

(3)
# KRu2Rh (PBEsol, optimized geometry)
data_KRu2Rh
_cell_length_a 3.927
_cell_length_b 3.927
_cell_length_c 8.138
_cell_angle_alpha 90.00
_cell_angle_beta 90.00
_cell_angle_gamma 90.00
_space_group_name_H-M_alt 'I 4/m m m'
_space_group_IT_number 139
_space_group_name_Hall '-I 4 2'
loop_
_atom_site_label
_atom_site_type_symbol
_atom_site_fract_x
_atom_site_fract_y
_atom_site_fract_z
K1 K 0.000 0.000 0.000
Ru1 Ru 0.000 0.500 0.250
Rh1 Rh 0.000 0.000 0.500
# Crystal system = tetragonal
# Energy = -23.82 eV per formula unit
# ρ = 9.1 Mg/m³
# Offset from the most stable computed form = 59.4 kJ per mole of atoms
# Formation energy = 1.45 eV/atom

(4)
# TbH2Br (PBEsol, optimized geometry)
data_TbH2Br
_cell_length_a 3.7177
_cell_length_b 3.7177
_cell_length_c 30.6255
_cell_angle_alpha 90.00
_cell_angle_beta 90.00
_cell_angle_gamma 120.00
_space_group_name_H-M_alt 'R -3 m'
_space_group_IT_number 166
_space_group_name_Hall '-R 3 2"'
loop_
_atom_site_label
_atom_site_type_symbol
_atom_site_fract_x
_atom_site_fract_y
_atom_site_fract_z
Tb1 Tb 0.0000 0.0000 0.1149
H1 H 0.0000 0.0000 0.1871
H2 H 0.0000 0.0000 0.4553
Br1 Br 0.0000 0.0000 0.2810
# Crystal system = trigonal
# Energy = -17.97 eV per formula unit
# ρ = 6.5 Mg/m³

(5)
# BaLaBe2Si (PBEsol, optimized geometry)
data_BaLaBe2Si
_cell_length_a 4.973
_cell_length_b 4.973
_cell_length_c 5.452
_cell_angle_alpha 90.00
_cell_angle_beta 90.00
_cell_angle_gamma 90.00
_space_group_name_H-M_alt 'P 4/m m m'
_space_group_IT_number 123
_space_group_name_Hall '-P 4 2'
loop_
_atom_site_label
_atom_site_type_symbol
_atom_site_fract_x
_atom_site_fract_y
_atom_site_fract_z
Ba1 Ba 0.000 0.000 0.000
La1 La 0.500 0.500 0.500
Be1 Be 0.000 0.500 0.000
Si1 Si 0.000 0.000 0.500
# Crystal system = tetragonal
# Raw formation energy = 6.37 eV/f.u.
# Energy = -14.87 eV per formula unit
# ρ = 4.0 Mg/m³

(6)
# SrMnCd (PBEsol, optimized geometry)
data_SrMnCd
_cell_length_a 3.640
_cell_length_b 3.640
_cell_length_c 11.428
_cell_angle_alpha 90.00
_cell_angle_beta 90.00
_cell_angle_gamma 90.00
_space_group_name_H-M_alt 'I 4 m m'
_space_group_IT_number 107
_space_group_name_Hall 'I 4 -2'
loop_
_atom_site_label
_atom_site_type_symbol
_atom_site_fract_x
_atom_site_fract_y
_atom_site_fract_z
Sr1 Sr 0.000 0.000 0.000
Mn1 Mn 0.000 0.000 0.297
Cd1 Cd 0.000 0.000 0.703
# Crystal system = tetragonal
# Energy = -11.80 eV per formula unit
# ρ = 5.6 Mg/m³
# Offset from the most stable computed form = 0.5 kJ per mole of atoms
# Formation energy = 0.33 eV/atom

(7)
# Lu4MgRh (PBEsol, optimized geometry)
data_Lu4MgRh
_cell_length_a 13.247
_cell_length_b 13.247
_cell_length_c 13.247
_cell_angle_alpha 90.00
_cell_angle_beta 90.00
_cell_angle_gamma 90.00
_space_group_name_H-M_alt 'F -4 3 m'
_space_group_IT_number 216
_space_group_name_Hall 'F -4 2 3'
loop_
_atom_site_label
_atom_site_type_symbol
_atom_site_fract_x
_atom_site_fract_y
_atom_site_fract_z
Lu1 Lu 0.000 0.000 0.185
Lu2 Lu 0.063 0.250 0.750
Lu3 Lu 0.096 0.096 0.404
Mg1 Mg 0.170 0.170 0.170
Rh1 Rh 0.109 0.109 0.609
# Crystal system = cubic
# Energy = -31.75 eV per formula unit
# ρ = 9.5 Mg/m³
# Formation energy = -0.40 eV/atom

(8)
# BaRe2Si (PBEsol, optimized geometry)
data_BaRe2Si
_cell_length_a 3.282
_cell_length_b 4.855
_cell_length_c 9.080
_cell_angle_alpha 90.00
_cell_angle_beta 90.00
_cell_angle_gamma 90.00
_space_group_name_H-M_alt 'C m m m'
_space_group_IT_number 65
_space_group_name_Hall '-C 2 2'
loop_
_atom_site_label
_atom_site_type_symbol
_atom_site_fract_x
_atom_site_fract_y
_atom_site_fract_z
Ba1 Ba 0.000 0.000 0.000
Re1 Re 0.000 0.500 0.307
Si1 Si 0.000 0.000 0.500
# Crystal system = orthorhombic
# Raw formation energy = 3.24 eV/f.u.
# Energy = -31.32 eV per formula unit
# ρ = 12.3 Mg/m³

| no. | volume (A^3/atom) |
| --- | --- |
| 1 | 13.0 |
| 2 | 20.0 |
| 3 | 15.7 |
| 4 | 15.3 |
| 5 | 27.0 |
| 6 | 25.2 |
| 7 | 24.2 |
| 8 | 18.1 |